The following is a DFT calculation (PBE-GGA) of a relaxed NaCu2Rh crystal. Values from VASP.

```
&SYSTEM
  ibrav = 0, nat = 8, ntyp = 3
/
ATOMIC_SPECIES
Na 22.99 Na.upf
Rh 102.91 Rh.upf
Cu 63.55 Cu.upf
ATOMIC_POSITIONS crystal
Na 0.500 0.500 0.000
Na 0.250 0.750 0.500
Rh 0.000 0.000 0.000
Rh 0.750 0.250 0.500
Cu 0.650 0.125 0.250
Cu 0.100 0.625 0.250
Cu 0.375 0.350 0.750
Cu 0.875 0.900 0.750
CELL_PARAMETERS angstrom
-1.444 -3.439 -0.357
2.927 -1.010 -2.109
5.195 -4.867 6.214
```

Properties
- ΔH_f (0 K) (eV per atom) = 0.617
- raw total energy (eV/atom) = -3.599
- density of states at the Fermi level (states/eV per atom) = 0.59
- SG = No. 122

The following is a DFT calculation (PBE-GGA) of a relaxed Pr2MgOs2 crystal. Values from VASP.

```
&SYSTEM
  ibrav = 0, nat = 10, ntyp = 3
/
ATOMIC_SPECIES
Pr 140.91 Pr.upf
Mg 24.30 Mg.upf
Os 190.23 Os.upf
ATOMIC_POSITIONS crystal
Pr 0.496 0.296 0.148
Pr 0.200 0.704 0.352
Pr 0.504 0.704 0.852
Pr 0.800 0.296 0.648
Mg 0.871 0.000 0.250
Mg 0.129 0.000 0.750
Os 0.705 0.713 0.490
Os 0.993 0.287 0.010
Os 0.295 0.287 0.510
Os 0.007 0.713 0.990
CELL_PARAMETERS angstrom
-0.298 5.530 1.504
-3.961 -2.239 -3.502
-2.722 -2.254 7.750
```

Properties
- ΔH_f (0 K) (eV per atom) = 0.001
- raw total energy (eV/atom) = -6.721
- density of states at the Fermi level (states/eV per atom) = 1.05
- SG = No. 15

The following is a DFT calculation (PBE-GGA) of a relaxed Ac6SnGe crystal. Values from VASP.

```
&SYSTEM
  ibrav = 0, nat = 8, ntyp = 3
/
ATOMIC_SPECIES
Ac 227.00 Ac.upf
Sn 118.71 Sn.upf
Ge 72.64 Ge.upf
ATOMIC_POSITIONS crystal
Ac 0.253 0.253 0.730
Ac 0.472 0.105 0.252
Ac 0.747 0.747 0.270
Ac 0.895 0.528 0.748
Ac 0.528 0.895 0.748
Ac 0.105 0.472 0.252
Sn 0.000 0.000 0.000
Ge 0.500 0.500 0.500
CELL_PARAMETERS angstrom
-3.659 6.494 1.015
-4.083 -6.256 0.883
4.336 -0.207 6.103
```

Properties
- ΔH_f (0 K) (eV per atom) = -0.146
- raw total energy (eV/atom) = -4.305
- density of states at the Fermi level (states/eV per atom) = 1.47
- SG = No. 12

The following is a DFT calculation (PBE-GGA) of a relaxed PuZrTlZn crystal. Values from VASP.

```
&SYSTEM
  ibrav = 0, nat = 4, ntyp = 4
/
ATOMIC_SPECIES
Tl 204.38 Tl.upf
Zn 65.41 Zn.upf
Zr 91.22 Zr.upf
Pu 244.00 Pu.upf
ATOMIC_POSITIONS crystal
Tl 0.250 0.250 0.250
Zn 0.750 0.750 0.750
Zr 0.000 0.000 0.000
Pu 0.500 0.500 0.500
CELL_PARAMETERS angstrom
5.102 0.000 0.000
2.551 4.419 0.000
2.551 1.473 4.166
```

Properties
- ΔH_f (0 K) (eV per atom) = 0.046
- raw total energy (eV/atom) = -6.585
- density of states at the Fermi level (states/eV per atom) = 2.37
- SG = No. 216

The following is a DFT calculation (PBE-GGA) of a relaxed ScVSb2 crystal. Values from VASP.

```
&SYSTEM
  ibrav = 0, nat = 4, ntyp = 3
/
ATOMIC_SPECIES
Sc 44.96 Sc.upf
Sb 121.76 Sb.upf
V 50.94 V.upf
ATOMIC_POSITIONS crystal
Sc 0.000 0.000 0.000
Sb 0.250 0.250 0.250
Sb 0.750 0.750 0.750
V 0.500 0.500 0.500
CELL_PARAMETERS angstrom
2.760 1.204 3.903
-2.035 2.346 3.829
-0.628 -2.357 4.284
```

Properties
- raw total energy (eV/atom) = -6.113
- density of states at the Fermi level (states/eV per atom) = 0.82
- uncorrected formation energy (eV/atom) = -0.19
- SG = No. 225

The following is a DFT calculation (PBE-GGA) of a relaxed AlTeSe2 crystal. Values from VASP.

```
&SYSTEM
  ibrav = 0, nat = 4, ntyp = 3
/
ATOMIC_SPECIES
Te 127.60 Te.upf
Al 26.98 Al.upf
Se 78.96 Se.upf
ATOMIC_POSITIONS crystal
Te 0.750 0.750 0.750
Al 0.500 0.500 0.500
Se 0.000 0.000 0.000
Se 0.250 0.250 0.250
CELL_PARAMETERS angstrom
-2.921 3.834 1.233
-4.267 0.762 -2.442
-4.348 -0.816 2.275
```

Properties
- raw total energy (eV/atom) = -3.163
- density of states at the Fermi level (states/eV per atom) = 0.39
- uncorrected formation energy (eV/atom) = 0.30
- SG = No. 216

The following is a DFT calculation (PBE-GGA) of a relaxed CaLa2Mg crystal. Values from VASP.

```
&SYSTEM
  ibrav = 0, nat = 4, ntyp = 3
/
ATOMIC_SPECIES
Ca 40.08 Ca.upf
La 138.91 La.upf
Mg 24.30 Mg.upf
ATOMIC_POSITIONS crystal
Ca 0.000 0.500 0.500
La 0.000 0.000 0.000
La 0.500 0.500 0.000
Mg 0.500 0.000 0.500
CELL_PARAMETERS angstrom
-5.729 -3.715 1.603
6.217 -1.508 2.877
-0.541 0.982 3.370
```

Properties
- ΔH_f (0 K) (eV per atom) = 0.062
- raw total energy (eV/atom) = -3.300
- density of states at the Fermi level (states/eV per atom) = 1.28
- SG = No. 12

The following is a DFT calculation (PBE-GGA) of a relaxed Pr5DySi4 crystal. Values from VASP.

```
&SYSTEM
  ibrav = 0, nat = 10, ntyp = 3
/
ATOMIC_SPECIES
Pr 140.91 Pr.upf
Dy 162.50 Dy.upf
Si 28.09 Si.upf
ATOMIC_POSITIONS crystal
Pr 0.834 0.676 0.667
Pr 0.836 0.172 0.673
Pr 0.164 0.828 0.327
Pr 0.500 0.500 0.000
Pr 0.166 0.324 0.333
Dy 0.500 0.000 0.000
Si 0.326 0.901 0.651
Si 0.992 0.747 0.983
Si 0.674 0.099 0.349
Si 0.008 0.253 0.017
CELL_PARAMETERS angstrom
5.092 0.000 0.000
0.000 6.492 -2.586
-2.546 -3.435 9.860
```

Properties
- raw total energy (eV/atom) = -5.492
- density of states at the Fermi level (states/eV per atom) = 0.53
- uncorrected formation energy (eV/atom) = -0.47
- SG = No. 12

The following is a DFT calculation (PBE-GGA) of a relaxed MnGe2Ru crystal. Values from VASP.

```
&SYSTEM
  ibrav = 0, nat = 4, ntyp = 3
/
ATOMIC_SPECIES
Ru 101.07 Ru.upf
Ge 72.64 Ge.upf
Mn 54.94 Mn.upf
ATOMIC_POSITIONS crystal
Ru 0.500 0.500 0.000
Ge 0.000 0.000 0.739
Ge 0.000 0.000 0.261
Mn 0.500 0.500 0.500
CELL_PARAMETERS angstrom
-2.062 -1.708 -1.324
2.003 -2.198 -0.283
-1.620 -2.160 5.311
```

Properties
- ΔH_f (0 K) (eV per atom) = -0.067
- raw total energy (eV/atom) = -6.987
- density of states at the Fermi level (states/eV per atom) = 0.66
- SG = No. 123

The following is a DFT calculation (PBE-GGA) of a relaxed LiCeSm2S5 crystal. Values from VASP.

```
&SYSTEM
  ibrav = 0, nat = 18, ntyp = 4
/
ATOMIC_SPECIES
Li 6.94 Li.upf
Ce 140.12 Ce.upf
Sm 150.36 Sm.upf
S 32.06 S.upf
ATOMIC_POSITIONS crystal
Li 0.513 0.026 0.981
Li 0.487 0.974 0.481
Ce 0.803 0.606 0.501
Ce 0.197 0.394 0.001
Sm 0.878 0.756 0.797
Sm 0.110 0.220 0.685
Sm 0.122 0.244 0.297
Sm 0.890 0.780 0.185
S 0.365 0.730 0.000
S 0.691 0.382 0.837
S 0.501 0.002 0.784
S 0.291 0.581 0.665
S 0.956 0.911 0.574
S 0.635 0.270 0.500
S 0.309 0.618 0.337
S 0.499 0.998 0.284
S 0.709 0.419 0.165
S 0.044 0.089 0.074
CELL_PARAMETERS angstrom
-2.388 -2.251 -2.247
3.095 -5.470 5.711
-9.161 2.436 7.298
```

Properties
- raw total energy (eV/atom) = -6.067
- density of states at the Fermi level (states/eV per atom) = 0.66
- uncorrected formation energy (eV/atom) = -1.85
- SG = No. 36

The following is a DFT calculation (PBE-GGA) of a relaxed LuMgHgSb crystal. Values from VASP.

```
&SYSTEM
  ibrav = 0, nat = 4, ntyp = 4
/
ATOMIC_SPECIES
Sb 121.76 Sb.upf
Mg 24.30 Mg.upf
Lu 174.97 Lu.upf
Hg 200.59 Hg.upf
ATOMIC_POSITIONS crystal
Sb 0.000 0.000 0.000
Mg 0.750 0.750 0.750
Lu 0.250 0.250 0.250
Hg 0.500 0.500 0.500
CELL_PARAMETERS angstrom
5.177 0.000 0.000
2.589 4.484 0.000
2.589 1.495 4.227
```

Properties
- raw total energy (eV/atom) = -2.980
- density of states at the Fermi level (states/eV per atom) = 0.87
- uncorrected formation energy (eV/atom) = -0.34
- SG = No. 216

The following is a DFT calculation (PBE-GGA) of a relaxed CaSc2H crystal. Values from VASP.

```
&SYSTEM
  ibrav = 0, nat = 4, ntyp = 3
/
ATOMIC_SPECIES
Sc 44.96 Sc.upf
H 1.01 H.upf
Ca 40.08 Ca.upf
ATOMIC_POSITIONS crystal
Sc 0.879 0.879 0.879
Sc 0.121 0.121 0.121
H 0.500 0.500 0.500
Ca 0.000 0.000 0.000
CELL_PARAMETERS angstrom
1.937 0.000 8.821
-0.968 1.677 8.821
-0.968 -1.677 8.821
```

Properties
- raw total energy (eV/atom) = -4.488
- density of states at the Fermi level (states/eV per atom) = 1.77
- SG = No. 166

> Which formula does entry 2 have?

Pr2MgOs2

> Number 9 is which compound?

MnGe2Ru